{
  "formula": "Sr2CoI",
  "functional": "GGA-PBEsol",
  "state": "optimized geometry",
  "vol_a3_per_cell": 258.1,
  "mass_density_g_cm3": 4.6,
  "magmom_total_mub_per_fu": 0.058,
  "final_energy_ev_per_atom": -3.28,
  "sg": "I-42d, No. 122",
  "crystal_system": "tetragonal",
  "lattice": [[-5.513, -3.539, 2.325], [4.599, -4.257, -3.008], [3.333, 3.132, 5.235]],
  "species": ["Co", "Co", "I", "I", "Sr", "Sr", "Sr", "Sr"],
  "frac_coords": [[0.000, 0.500, 0.500], [0.500, 0.250, 0.750], [0.000, 0.000, 0.000], [0.500, 0.750, 0.250], [0.936, 0.561, 0.125], [0.064, 0.189, 0.625], [0.436, 0.875, 0.811], [0.564, 0.375, 0.439]]
}

***

{
  "formula": "Mg2ZnIr",
  "functional": "GGA-PBEsol",
  "state": "optimized geometry",
  "vol_a3_per_cell": 61.5,
  "mass_density_g_cm3": 8.3,
  "magmom_total_mub_per_fu": 0.000,
  "delta_e_f_kj_per_mol_atoms": -22.2,
  "sg": "F-43m, No. 216",
  "crystal_system": "cubic",
  "lattice": [[-4.156, -1.418, 0.590], [-1.956, -2.482, -3.106], [-0.789, -4.293, 0.766]],
  "species": ["Zn", "Ir", "Mg", "Mg"],
  "frac_coords": [[0.250, 0.250, 0.250], [0.500, 0.500, 0.500], [0.750, 0.750, 0.750], [0.000, 0.000, 0.000]]
}

***

{
  "formula": "Ca3SnAs",
  "functional": "GGA-PBEsol",
  "state": "optimized geometry",
  "vol_a3_per_cell": 185.8,
  "mass_density_g_cm3": 2.8,
  "magmom_total_mub_per_fu": 0.001,
  "delta_e_f_kj_per_mol_atoms": -12.2,
  "sg": "Pm-3m, No. 221",
  "crystal_system": "cubic",
  "lattice": [[-2.663, -4.888, -1.259], [2.487, -0.031, -5.136], [4.392, -2.945, 2.145]],
  "species": ["Ca", "Ca", "Ca", "As", "Sn"],
  "frac_coords": [[0.000, 0.500, 0.000], [0.500, 0.000, 0.000], [0.000, 0.000, 0.500], [0.500, 0.500, 0.500], [0.000, 0.000, 0.000]]
}

***

Please write out number 2 again, unchanged.
{
  "formula": "Mg2ZnIr",
  "functional": "GGA-PBEsol",
  "state": "optimized geometry",
  "vol_a3_per_cell": 61.5,
  "mass_density_g_cm3": 8.3,
  "magmom_total_mub_per_fu": 0.000,
  "delta_e_f_kj_per_mol_atoms": -22.2,
  "sg": "F-43m, No. 216",
  "crystal_system": "cubic",
  "lattice": [[-4.156, -1.418, 0.590], [-1.956, -2.482, -3.106], [-0.789, -4.293, 0.766]],
  "species": ["Zn", "Ir", "Mg", "Mg"],
  "frac_coords": [[0.250, 0.250, 0.250], [0.500, 0.500, 0.500], [0.750, 0.750, 0.750], [0.000, 0.000, 0.000]]
}